Version one
A relaxed structure of MgBeAl, computed with GGA-PBE.

Values from the calculation:
Its space group is Ima2. The density of states at the Fermi level is 2.26 states/eV per cell.

abc: 5.001 5.001 5.001
angles: 123.87 102.31 103.26
Element x y z (fractional)
Mg  0.156  0.250  0.406
Mg  0.844  0.750  0.594
Be  0.648  0.148  0.500
Be  0.648  0.648  0.000
Al  0.150  0.569  0.081
Al  0.488  0.069  0.919

Version two
A relaxed structure of MgBeAl, computed with GGA-PBE.

Values from the calculation:
Its space group is Cm. The density of states at the Fermi level is 1.60 states/eV per cell.

abc: 6.156 6.156 6.043
angles: 116.78 116.78 28.93
Element x y z (fractional)
Mg  0.000  0.000  0.000
Mg  0.731  0.731  0.978
Be  0.099  0.099  0.575
Be  0.306  0.306  0.736
Al  0.424  0.424  0.498
Al  0.700  0.700  0.402

The structure with the greatest stability is version one.

Version one
A relaxed structure of Mg3BeAl, computed with GGA-PBE.

Values from the calculation:
Its space group is Pm-3m. The density of states at the Fermi level is 2.71 states/eV per cell.

abc: 5.132 5.132 5.132
angles: 90.00 90.00 90.00
Element x y z (fractional)
Mg  0.000  0.000  0.500
Mg  0.000  0.500  0.000
Mg  0.500  0.000  0.000
Be  0.500  0.500  0.500
Al  0.000  0.000  0.000

Version two
A relaxed structure of Mg3BeAl, computed with GGA-PBE.

Values from the calculation:
Its space group is Pm-3m. The density of states at the Fermi level is 1.38 states/eV per cell.

abc: 4.752 4.752 4.752
angles: 90.00 90.00 90.00
Element x y z (fractional)
Mg  0.000  0.000  0.500
Mg  0.000  0.500  0.000
Mg  0.500  0.000  0.000
Be  0.000  0.000  0.000
Al  0.500  0.500  0.500

The structure with the greatest stability is version two.

Version one
A relaxed structure of MgBeAl3, computed with GGA-PBE.

Values from the calculation:
Its space group is Pm-3m. The density of states at the Fermi level is 1.99 states/eV per cell.

abc: 4.491 4.491 4.491
angles: 90.00 90.00 90.00
Element x y z (fractional)
Mg  0.000  0.000  0.000
Be  0.500  0.500  0.500
Al  0.000  0.500  0.500
Al  0.500  0.000  0.500
Al  0.500  0.500  0.000

Version two
A relaxed structure of MgBeAl3, computed with GGA-PBE.

Values from the calculation:
Its space group is Pm-3m. The density of states at the Fermi level is 2.64 states/eV per cell.

abc: 5.047 5.047 5.047
angles: 90.00 90.00 90.00
Element x y z (fractional)
Mg  0.000  0.000  0.000
Be  0.500  0.500  0.500
Al  0.000  0.000  0.500
Al  0.000  0.500  0.000
Al  0.500  0.000  0.000

The structure with the greatest stability is version one.

Version one
A relaxed structure of MgBe3Al, computed with GGA-PBE.

Values from the calculation:
Its space group is Pm-3m. The density of states at the Fermi level is 2.19 states/eV per cell.

abc: 4.341 4.341 4.341
angles: 90.00 90.00 90.00
Element x y z (fractional)
Mg  0.000  0.000  0.000
Be  0.000  0.500  0.500
Be  0.500  0.000  0.500
Be  0.500  0.500  0.000
Al  0.500  0.500  0.500

Version two
A relaxed structure of MgBe3Al, computed with GGA-PBE.

Values from the calculation:
Its space group is Pm-3m. The density of states at the Fermi level is 1.67 states/eV per cell.

abc: 4.439 4.439 4.439
angles: 90.00 90.00 90.00
Element x y z (fractional)
Mg  0.000  0.000  0.000
Be  0.000  0.000  0.500
Be  0.000  0.500  0.000
Be  0.500  0.000  0.000
Al  0.500  0.500  0.500

The structure with the greatest stability is version one.

Version one
A relaxed structure of Mg16BeAl12, computed with GGA-PBE.

Values from the calculation:
Its space group is R3m. The density of states at the Fermi level is 6.40 states/eV per cell.

abc: 9.013 9.013 9.013
angles: 109.09 109.09 109.09
Element x y z (fractional)
Mg  0.000  0.000  0.000
Mg  0.008  0.008  0.659
Mg  0.008  0.659  0.008
Mg  0.011  0.411  0.688
Mg  0.011  0.688  0.411
Mg  0.305  0.583  0.583
Mg  0.322  0.322  0.726
Mg  0.322  0.726  0.322
Mg  0.411  0.011  0.688
Mg  0.411  0.688  0.011
Mg  0.583  0.305  0.583
Mg  0.583  0.583  0.305
Mg  0.659  0.008  0.008
Mg  0.688  0.011  0.411
Mg  0.688  0.411  0.011
Mg  0.726  0.322  0.322
Be  0.284  0.284  0.284
Al  0.009  0.190  0.371
Al  0.009  0.371  0.190
Al  0.190  0.009  0.371
Al  0.190  0.371  0.009
Al  0.202  0.819  0.819
Al  0.371  0.009  0.190
Al  0.371  0.190  0.009
Al  0.652  0.652  0.841
Al  0.652  0.841  0.652
Al  0.819  0.202  0.819
Al  0.819  0.819  0.202
Al  0.841  0.652  0.652

Version two
A relaxed structure of Mg16BeAl12, computed with GGA-PBE.

Values from the calculation:
Its space group is Cm. The density of states at the Fermi level is 8.26 states/eV per cell.

abc: 9.049 9.049 8.975
angles: 109.09 109.09 109.49
Element x y z (fractional)
Mg  0.000  0.000  0.000
Mg  0.002  0.407  0.031
Mg  0.003  0.657  0.355
Mg  0.007  0.687  0.753
Mg  0.009  0.009  0.356
Mg  0.295  0.603  0.951
Mg  0.316  0.316  0.060
Mg  0.326  0.709  0.661
Mg  0.385  0.385  0.688
Mg  0.407  0.002  0.031
Mg  0.416  0.679  0.361
Mg  0.603  0.295  0.951
Mg  0.657  0.003  0.355
Mg  0.679  0.416  0.361
Mg  0.687  0.007  0.753
Mg  0.709  0.326  0.661
Be  0.685  0.685  0.711
Al  0.004  0.189  0.714
Al  0.177  0.360  0.337
Al  0.186  0.811  0.163
Al  0.189  0.004  0.714
Al  0.360  0.177  0.337
Al  0.370  0.998  0.531
Al  0.640  0.823  0.980
Al  0.645  0.645  0.179
Al  0.811  0.186  0.163
Al  0.819  0.819  0.549
Al  0.823  0.640  0.980
Al  0.998  0.370  0.531

The structure with the greatest stability is version two.

Version one
A relaxed structure of MnBeAl, computed with GGA-PBE.

Values from the calculation:
Its space group is P3m1. The density of states at the Fermi level is 2.00 states/eV per cell.

abc: 3.925 3.925 2.491
angles: 90.00 90.00 120.00
Element x y z (fractional)
Mn  0.000  0.000  0.000
Be  0.333  0.667  0.617
Al  0.667  0.333  0.452

Version two
A relaxed structure of MnBeAl, computed with GGA-PBE.

Values from the calculation:
Its space group is F-43m. The density of states at the Fermi level is 1.81 states/eV per cell.

abc: 3.855 3.855 3.855
angles: 60.00 60.00 60.00
Element x y z (fractional)
Mn  0.000  0.000  0.000
Be  0.250  0.250  0.250
Al  0.500  0.500  0.500

Version three
A relaxed structure of MnBeAl, computed with GGA-PBE.

Values from the calculation:
Its space group is F-43m. The density of states at the Fermi level is 1.99 states/eV per cell.

abc: 3.968 3.968 3.968
angles: 60.00 60.00 60.00
Element x y z (fractional)
Mn  0.000  0.000  0.000
Be  0.750  0.750  0.750
Al  0.250  0.250  0.250

The structure with the greatest stability is version one.